Entry 1:
# SmBiAu4

SmBiAu4 after structural relaxation (GGA-PBE, Alexandria via LeMat-Bulk).

Computed properties:
As for the size of the total moment: 0.00 μB per cell. The calculation puts the calculated formation energy at -436 meV per atom. Its density of states at the Fermi level is 1.1 states/eV/f.u. The value obtained for the energy above the most stable polymorph in this dataset is 0.005 eV/atom. Its density is 14.40 g/cm3.

Geometry as POSCAR:
```
SmBiAu4
1.0
5.7189 0.0000 0.0000
2.8594 4.9527 0.0000
2.8594 1.6509 4.6694
Au Sm Bi
4 1 1
direct
0.6247 0.1258 0.6247
0.1258 0.6247 0.6247
0.6247 0.6247 0.6247
0.6247 0.6247 0.1258
0.2500 0.2500 0.2500
0.0000 0.0000 0.0000
```



Entry 2:
# Sm2BiAu

Sm2BiAu after structural relaxation (GGA-PBE, Alexandria via LeMat-Bulk).

Computed properties:
As for the size of the total moment: 0.46 μB per cell. The calculation puts the calculated formation energy at -711 meV per atom. Its density of states at the Fermi level is 4.2 states/eV/f.u. Its density is 10.62 g/cm3.

Geometry as POSCAR:
```
Sm2BiAu
1.0
4.0299 0.0000 0.0000
0.0000 5.2362 0.0000
0.0000 0.0000 5.2362
Sm Bi Au
2 1 1
direct
0.0000 0.0000 0.5000
0.0000 0.5000 0.0000
0.5000 0.5000 0.5000
0.5000 0.0000 0.0000
```